DFT (GGA-PBE) results for a geometry-optimized Zr2AuBr structure.

The calculation puts the volume at 90.00 Å³/f.u. For the final energy, the calculation gives -5.134 eV per atom. The calculation puts the total moment at 13.74 μB/cell. The value obtained for the density of states at the Fermi level is 19.799 states/eV/cell. The uncorrected formation energy is 377 meV per atom. The calculation puts the distance to the lowest polymorph of the same formula at 878 meV/atom.

The space group is F-43m (No. 216) and the conventional cell measures 7.114, 7.114 and 7.114 Å, with angles of 90.00, 90.00 and 90.00 degrees. The inequivalent atoms are Zr at (0.000, 0.000, 0.000), Zr at (0.250, 0.250, 0.250), Au at (0.250, 0.250, 0.750) and Br at (0.000, 0.000, 0.500).

DFT (GGA-PBE) results for a geometry-optimized Zr2AuBr structure.

The calculation puts the volume at 85.25 Å³/f.u. For the final energy, the calculation gives -5.825 eV per atom. The calculation puts the total moment at 0.00 μB/cell. The value obtained for the density of states at the Fermi level is 9.408 states/eV/cell. The uncorrected formation energy is -314 meV per atom. The calculation puts the distance to the lowest polymorph of the same formula at 187 meV/atom.

The space group is R-3m (No. 166, hexagonal axes) and the conventional cell measures 3.2733, 3.2733 and 27.5613 Å, with angles of 90.00, 90.00 and 120.00 degrees. The inequivalent atoms are Zr at (0.0000, 0.0000, 0.2493), Au at (0.0000, 0.0000, 0.5000) and Br at (0.0000, 0.0000, 0.0000).

DFT (GGA-PBE) results for a geometry-optimized Zr2AuBr structure.

The calculation puts the volume at 85.26 Å³/f.u. For the final energy, the calculation gives -5.773 eV per atom. The calculation puts the total moment at 0.00 μB/cell. The value obtained for the density of states at the Fermi level is 6.228 states/eV/cell. The uncorrected formation energy is -262 meV per atom. The calculation puts the distance to the lowest polymorph of the same formula at 239 meV/atom.

The space group is Imm2 (No. 44) and the conventional cell measures 3.254, 4.882 and 10.735 Å, with angles of 90.00, 90.00 and 90.00 degrees. The inequivalent atoms are Zr at (0.000, 0.000, 0.000), Zr at (0.000, 0.500, 0.252), Au at (0.000, 0.500, 0.770) and Br at (0.000, 0.000, 0.538).

DFT (GGA-PBE) results for a geometry-optimized ZrAuBr3 structure.

The calculation puts the volume at 152.32 Å³/f.u. For the final energy, the calculation gives -3.012 eV per atom. The calculation puts the total moment at 2.36 μB/cell. The value obtained for the density of states at the Fermi level is 3.858 states/eV/cell. The uncorrected formation energy is 357 meV per atom. The calculation puts the distance to the lowest polymorph of the same formula at 753 meV/atom.

The space group is Pm-3m (No. 221) and the conventional cell measures 5.341, 5.341 and 5.341 Å, with angles of 90.00, 90.00 and 90.00 degrees. The inequivalent atoms are Zr at (0.000, 0.000, 0.000), Au at (0.500, 0.500, 0.500) and Br at (0.000, 0.500, 0.500).

DFT (GGA-PBE) results for a geometry-optimized Au2C structure.

The calculation puts the volume at 47.37 Å³/f.u. For the final energy, the calculation gives -4.040 eV per atom. The calculation puts the total moment at 0.00 μB/cell. The value obtained for the density of states at the Fermi level is 4.907 states/eV/cell. The calculated formation energy is 1.220 eV/atom. The calculation puts the distance to the lowest polymorph of the same formula at 369 meV/atom.

The space group is Pnma (No. 62) and the conventional cell measures 11.364, 3.158 and 5.279 Å, with angles of 90.00, 90.00 and 90.00 degrees. The inequivalent atoms are Au at (0.041, 0.250, 0.234), Au at (0.170, 0.250, 0.693) and C at (0.212, 0.250, 0.096).

DFT (GGA-PBE) results for a geometry-optimized AuC structure.

The calculation puts the volume at 37.33 Å³/f.u. For the final energy, the calculation gives -4.154 eV per atom. The calculation puts the total moment at 1.38 μB/cell. The value obtained for the density of states at the Fermi level is 3.967 states/eV/cell. The calculated formation energy is 2.096 eV/atom. The calculation puts the distance to the lowest polymorph of the same formula at 1813 meV/atom.

The space group is C2/m (No. 12) and the conventional cell measures 16.720, 3.011 and 3.010 Å, with angles of 90.00, 99.76 and 90.00 degrees. The inequivalent atoms are Au at (0.125, 0.000, 0.375) and C at (0.125, 0.500, 0.875).

DFT (GGA-PBE) results for a geometry-optimized Au2C structure.

The calculation puts the volume at 47.98 Å³/f.u. For the final energy, the calculation gives -3.948 eV per atom. The calculation puts the total moment at 0.00 μB/cell. The value obtained for the density of states at the Fermi level is 3.792 states/eV/cell. The calculated formation energy is 1.312 eV/atom. The calculation puts the distance to the lowest polymorph of the same formula at 461 meV/atom.

The space group is Cm (No. 8) and the conventional cell measures 11.649, 2.969 and 6.230 Å, with angles of 90.00, 117.04 and 90.00 degrees. The inequivalent atoms are Au at (0.000, 0.000, 0.000), Au at (0.015, 0.000, 0.514), Au at (0.251, 0.500, 0.573), Au at (0.289, 0.000, 0.162), C at (0.154, 0.500, 0.190) and C at (0.340, 0.000, 0.878).

DFT (GGA-PBE) results for a geometry-optimized AuC3 structure.

The calculation puts the volume at 41.75 Å³/f.u. For the final energy, the calculation gives -4.223 eV per atom. The calculation puts the total moment at 0.00 μB/cell. The value obtained for the density of states at the Fermi level is 3.534 states/eV/cell. The calculated formation energy is 3.514 eV/atom. The calculation puts the distance to the lowest polymorph of the same formula at 2653 meV/atom.

The space group is Pm-3n (No. 223) and the conventional cell measures 4.371, 4.371 and 4.371 Å, with angles of 90.00, 90.00 and 90.00 degrees. The inequivalent atoms are Au at (0.000, 0.000, 0.000) and C at (0.000, 0.250, 0.500).

DFT (GGA-PBE) results for a geometry-optimized AuC structure.

The calculation puts the volume at 36.28 Å³/f.u. For the final energy, the calculation gives -5.938 eV per atom. The calculation puts the total moment at 0.00 μB/cell. The value obtained for the density of states at the Fermi level is 2.129 states/eV/cell. The calculated formation energy is 0.312 eV/atom. The calculation puts the distance to the lowest polymorph of the same formula at 29 meV/atom.

The space group is P6_3/mmc (No. 194) and the conventional cell measures 2.6229, 2.6229 and 24.3608 Å, with angles of 90.00, 90.00 and 120.00 degrees. The inequivalent atoms are Au at (0.3333, 0.6667, 0.0731), C at (0.0000, 0.0000, 0.2500) and C at (0.3333, 0.6667, 0.7500).

DFT (GGA-PBE) results for a geometry-optimized Au4C23 structure.

The calculation puts the volume at 214.40 Å³/f.u. For the final energy, the calculation gives -6.931 eV per atom. The calculation puts the total moment at 0.00 μB/cell. The value obtained for the density of states at the Fermi level is 18.041 states/eV/cell. The calculated formation energy is 1.412 eV/atom.

The space group is Pm-3n (No. 223) and the conventional cell measures 7.541, 7.541 and 7.541 Å, with angles of 90.00, 90.00 and 90.00 degrees. The inequivalent atoms are Au at (0.000, 0.000, 0.000), Au at (0.000, 0.250, 0.500), C at (0.000, 0.275, 0.220), C at (0.000, 0.500, 0.250) and C at (0.188, 0.188, 0.188).

DFT (GGA-PBE) results for a geometry-optimized Au3C5 structure.

The calculation puts the volume at 151.36 Å³/f.u. For the final energy, the calculation gives -4.667 eV per atom. The calculation puts the total moment at 0.00 μB/cell. The value obtained for the density of states at the Fermi level is 6.234 states/eV/cell. The calculated formation energy is 2.327 eV/atom. The calculation puts the distance to the lowest polymorph of the same formula at 1091 meV/atom.

The space group is Cmmm (No. 65) and the conventional cell measures 3.851, 9.819 and 8.006 Å, with angles of 90.00, 90.00 and 90.00 degrees. The inequivalent atoms are Au at (0.000, 0.000, 0.000), Au at (0.000, 0.338, 0.500), C at (0.000, 0.500, 0.000), C at (0.164, 0.000, 0.500) and C at (0.250, 0.250, 0.000).